Record 1
Here is an optimized crystal structure of CaY2TlO from Alexandria via LeMat-Bulk. Energies are from PBE.

Raw formation energy in eV/atom: -1.373
Density of states at the Fermi level in states/eV per cell: 1.86

Unit cell a=4.8094 b=4.8094 c=4.8359 alpha=90.00 beta=90.00 gamma=90.00
Sites, in units of the cell vectors:
Y (0.0000, 0.5000, 0.0000)
Y (0.5000, 0.0000, 0.0000)
Ca (0.0000, 0.0000, 0.5000)
Tl (0.5000, 0.5000, 0.5000)
O (0.0000, 0.0000, 0.0000)

---

Record 2
Here is an optimized crystal structure of Ca2ZrTlO from Alexandria via LeMat-Bulk. Energies are from PBE.

Raw formation energy in eV/atom: -1.155
Density of states at the Fermi level in states/eV per cell: 2.25

Unit cell a=4.7616 b=4.7616 c=4.6403 alpha=90.00 beta=90.00 gamma=90.00
Sites, in units of the cell vectors:
Zr (0.0000, 0.0000, 0.5000)
Ca (0.0000, 0.5000, 0.0000)
Ca (0.5000, 0.0000, 0.0000)
Tl (0.5000, 0.5000, 0.5000)
O (0.0000, 0.0000, 0.0000)

---

Record 3
Here is an optimized crystal structure of CaZr2TlO from Alexandria via LeMat-Bulk. Energies are from PBE.

Raw formation energy in eV/atom: -1.037
Density of states at the Fermi level in states/eV per cell: 4.59

Unit cell a=4.5174 b=4.5174 c=4.8442 alpha=90.00 beta=90.00 gamma=90.00
Sites, in units of the cell vectors:
Zr (0.5000, 0.0000, 0.0000)
Zr (0.0000, 0.5000, 0.0000)
Ca (0.0000, 0.0000, 0.5000)
O (0.0000, 0.0000, 0.0000)
Tl (0.5000, 0.5000, 0.5000)

---

Record 4
Here is an optimized crystal structure of Ca2TmO3 from Alexandria via LeMat-Bulk. Energies are from PBE.

Raw formation energy in eV/atom: -2.899
Density of states at the Fermi level in states/eV per cell: 1.93

Unit cell a=4.7710 b=6.7680 c=5.8766 alpha=106.71 beta=113.95 gamma=90.00
Sites, in units of the cell vectors:
Tm (0.0000, 0.7500, 0.0000)
Tm (0.0000, 0.2500, 0.0000)
O (0.5000, 0.7500, 0.0000)
O (0.8445, 0.4222, 0.6891)
O (0.5000, 0.2500, 0.0000)
O (0.8446, 0.9222, 0.6891)
O (0.1555, 0.5778, 0.3109)
O (0.1554, 0.0778, 0.3109)
Ca (0.3317, 0.9159, 0.6633)
Ca (0.3316, 0.4159, 0.6633)
Ca (0.6684, 0.5841, 0.3367)
Ca (0.6683, 0.0841, 0.3367)

---

Record 5
Here is an optimized crystal structure of CaTm2O4 from Alexandria via LeMat-Bulk. Energies are from PBE.

Raw formation energy in eV/atom: -3.411
Density of states at the Fermi level in states/eV per cell: 0.00

Unit cell a=5.6812 b=5.6812 c=10.8588 alpha=90.00 beta=90.00 gamma=146.51
Sites, in units of the cell vectors:
O (0.2660, 0.7340, 0.1120)
O (0.0000, 0.0000, 0.5000)
O (0.7340, 0.2660, 0.8880)
O (0.5368, 0.4632, 0.2500)
O (0.0000, 0.0000, 0.0000)
O (0.2660, 0.7340, 0.3880)
O (0.7340, 0.2660, 0.6120)
O (0.4632, 0.5368, 0.7500)
Tm (0.3674, 0.6326, 0.9260)
Tm (0.6326, 0.3674, 0.4260)
Tm (0.6326, 0.3674, 0.0740)
Tm (0.3674, 0.6326, 0.5740)
Ca (0.1116, 0.8884, 0.7500)
Ca (0.8884, 0.1116, 0.2500)

---

Record 6
Here is an optimized crystal structure of CaTm2O from Alexandria via LeMat-Bulk. Energies are from PBE.

Raw formation energy in eV/atom: -1.183
Density of states at the Fermi level in states/eV per cell: 3.75

Unit cell a=3.4688 b=3.4688 c=9.4131 alpha=79.38 beta=79.38 gamma=60.00
Sites, in units of the cell vectors:
Tm (0.8802, 0.8802, 0.3595)
Tm (0.1198, 0.1198, 0.6405)
Ca (0.0000, 0.0000, 0.0000)
O (0.5000, 0.5000, 0.5000)

---

Record 7
Here is an optimized crystal structure of CaTmO3 from Alexandria via LeMat-Bulk. Energies are from PBE.

Raw formation energy in eV/atom: -2.553
Density of states at the Fermi level in states/eV per cell: 1.81

Unit cell a=4.2733 b=4.2733 c=4.2733 alpha=90.00 beta=90.00 gamma=90.00
Site moments in Bohr magnetons follow the coordinates.
Sites, in units of the cell vectors:
O (0.5000, 0.0000, 0.5000)  0.30
O (0.5000, 0.5000, 0.0000)  0.30
O (0.0000, 0.5000, 0.5000)  0.30
Tm (0.5000, 0.5000, 0.5000)  0.09
Ca (0.0000, 0.0000, 0.0000)  -0.01

---

Record 8
Here is an optimized crystal structure of CaTmO2 from Alexandria via LeMat-Bulk. Energies are from PBE.

Raw formation energy in eV/atom: -2.744
Density of states at the Fermi level in states/eV per cell: 1.08

Unit cell a=3.3659 b=3.3659 c=6.2085 alpha=74.27 beta=74.27 gamma=60.00
Site moments in Bohr magnetons follow the coordinates.
Sites, in units of the cell vectors:
O (0.0709, 0.0709, 0.7873)  0.01
O (0.2642, 0.2642, 0.2074)  0.01
Ca (0.4948, 0.4948, 0.5156)  0.20
Tm (0.6701, 0.6701, 0.9897)  0.14

---

Record 9
Here is an optimized crystal structure of Ca2TmO from Alexandria via LeMat-Bulk. Energies are from PBE.

Raw formation energy in eV/atom: -1.206
Density of states at the Fermi level in states/eV per cell: 2.97

Unit cell a=3.4580 b=3.4580 c=9.7098 alpha=79.74 beta=79.74 gamma=60.00
Site moments in Bohr magnetons follow the coordinates.
Sites, in units of the cell vectors:
Ca (0.8825, 0.8825, 0.3524)  0.05
Ca (0.1175, 0.1175, 0.6476)  0.05
O (0.5000, 0.5000, 0.5000)  0.00
Tm (0.0000, 0.0000, 0.0000)  0.37

---

Record 10
Here is an optimized crystal structure of CaTm2O4 from Alexandria via LeMat-Bulk. Energies are from PBE.

Raw formation energy in eV/atom: -3.445
Density of states at the Fermi level in states/eV per cell: 0.00

Unit cell a=6.7363 b=6.7363 c=6.7363 alpha=60.00 beta=60.00 gamma=60.00
Sites, in units of the cell vectors:
O (0.3889, 0.8334, 0.3889)
O (0.8611, 0.4166, 0.8611)
O (0.4166, 0.8611, 0.8611)
O (0.3889, 0.3889, 0.8334)
O (0.8611, 0.8611, 0.4166)
O (0.8611, 0.8611, 0.8611)
O (0.8334, 0.3889, 0.3889)
O (0.3889, 0.3889, 0.3889)
Tm (0.6250, 0.1250, 0.6250)
Tm (0.1250, 0.6250, 0.6250)
Tm (0.6250, 0.6250, 0.1250)
Tm (0.6250, 0.6250, 0.6250)
Ca (0.2500, 0.2500, 0.2500)
Ca (0.0000, 0.0000, 0.0000)

---

Record 11
Here is an optimized crystal structure of CaTm2O4 from Alexandria via LeMat-Bulk. Energies are from PBE.

Raw formation energy in eV/atom: -3.422
Density of states at the Fermi level in states/eV per cell: 0.00

Unit cell a=3.3279 b=9.8098 c=11.6775 alpha=90.00 beta=90.00 gamma=90.00
Sites, in units of the cell vectors:
Tm (0.7500, 0.0767, 0.3888)
Tm (0.2500, 0.9233, 0.6112)
Tm (0.7500, 0.0779, 0.8869)
Tm (0.7500, 0.5779, 0.6131)
Tm (0.7500, 0.5767, 0.1112)
Tm (0.2500, 0.4221, 0.3869)
Tm (0.2500, 0.9221, 0.1131)
Tm (0.2500, 0.4233, 0.8888)
O (0.7500, 0.9929, 0.7132)
O (0.7500, 0.3693, 0.0210)
O (0.2500, 0.9223, 0.9200)
O (0.2500, 0.1307, 0.5210)
O (0.7500, 0.7869, 0.1807)
O (0.7500, 0.2869, 0.3193)
O (0.2500, 0.2131, 0.8193)
O (0.7500, 0.0777, 0.0800)
O (0.7500, 0.8693, 0.4790)
O (0.2500, 0.6307, 0.9790)
O (0.7500, 0.5777, 0.4200)
O (0.7500, 0.4929, 0.7868)
O (0.2500, 0.5071, 0.2132)
O (0.2500, 0.0071, 0.2868)
O (0.2500, 0.4223, 0.5800)
O (0.2500, 0.7131, 0.6807)
Ca (0.7500, 0.7439, 0.8526)
Ca (0.7500, 0.2439, 0.6474)
Ca (0.2500, 0.7561, 0.3526)
Ca (0.2500, 0.2561, 0.1474)

---

Record 12
Here is an optimized crystal structure of CaTmO2 from Alexandria via LeMat-Bulk. Energies are from PBE.

Raw formation energy in eV/atom: -2.870
Density of states at the Fermi level in states/eV per cell: 0.95

Unit cell a=3.3550 b=3.3550 c=5.9036 alpha=73.49 beta=73.49 gamma=60.00
Sites, in units of the cell vectors:
Ca (0.0000, 0.0000, 0.0000)
Tm (0.5000, 0.5000, 0.5000)
O (0.7544, 0.7544, 0.7367)
O (0.2456, 0.2456, 0.2633)

---

- The lowest raw formation energy belongs to which entry?
  number 10

---

- Number 9 is which compound?
  Ca2TmO

---

- Which of these has the lowest raw formation energy?
  number 10

---

Copy entry 2 word for word.
Here is an optimized crystal structure of Ca2ZrTlO from Alexandria via LeMat-Bulk. Energies are from PBE.

Raw formation energy in eV/atom: -1.155
Density of states at the Fermi level in states/eV per cell: 2.25

Unit cell a=4.7616 b=4.7616 c=4.6403 alpha=90.00 beta=90.00 gamma=90.00
Sites, in units of the cell vectors:
Zr (0.0000, 0.0000, 0.5000)
Ca (0.0000, 0.5000, 0.0000)
Ca (0.5000, 0.0000, 0.0000)
Tl (0.5000, 0.5000, 0.5000)
O (0.0000, 0.0000, 0.0000)